[1]
DFT (GGA-PBE) results for a relaxed structure of VGa2Re2.

Cell: 6.794 6.794 3.205 Å, 90.00 90.00 90.00°
Fractional positions:
1 Re 0.161 0.661 0.500
2 Re 0.661 0.839 0.500
3 Re 0.839 0.339 0.500
4 Re 0.339 0.161 0.500
5 Ga 0.362 0.862 0.000
6 Ga 0.862 0.638 0.000
7 Ga 0.638 0.138 0.000
8 Ga 0.138 0.362 0.000
9 V 0.000 0.000 0.000
10 V 0.500 0.500 0.000

Output
The space group is No. 127. For the formation energy, the calculation gives 24 kJ/mol of atoms.



[2]
DFT (GGA-PBE) results for a relaxed structure of V7Ga3Re.

Cell: 2.539 9.071 14.478 Å, 90.00 90.00 98.05°
Fractional positions:
1 V 0.365 0.730 0.750
2 V 0.635 0.270 0.250
3 V 0.503 0.007 0.413
4 V 0.497 0.993 0.587
5 V 0.497 0.993 0.913
6 V 0.503 0.007 0.087
7 V 0.383 0.766 0.338
8 V 0.617 0.234 0.662
9 V 0.256 0.512 0.415
10 V 0.744 0.488 0.585
11 V 0.744 0.488 0.915
12 V 0.256 0.512 0.085
13 V 0.383 0.766 0.162
14 V 0.617 0.234 0.838
15 Ga 0.123 0.245 0.495
16 Ga 0.877 0.755 0.505
17 Ga 0.226 0.453 0.750
18 Ga 0.774 0.547 0.250
19 Ga 0.123 0.245 0.005
20 Ga 0.877 0.755 0.995
21 Re 0.007 0.013 0.250
22 Re 0.993 0.987 0.750

Output
The space group is No. 63. For the formation energy, the calculation gives 20 kJ/mol of atoms.



[3]
DFT (GGA-PBE) results for a relaxed structure of VGa2ReW.

Cell: 4.563 4.529 4.563 Å, 90.00 90.00 90.00°
Fractional positions:
1 Re 0.500 0.500 0.500
2 Ga 0.000 0.000 0.500
3 Ga 0.500 0.000 0.000
4 W 0.000 0.500 0.000
5 V 0.000 0.000 0.000

Output
The space group is No. 123. For the formation energy, the calculation gives 150 kJ/mol of atoms.



[4]
DFT (GGA-PBE) results for a relaxed structure of VZnGaRe.

Cell: 4.319 4.319 4.319 Å, 60.00 60.00 60.00°
Fractional positions:
1 Re 0.750 0.750 0.750
2 Zn 0.250 0.250 0.250
3 Ga 0.000 0.000 0.000
4 V 0.500 0.500 0.500

Output
The space group is No. 216. For the formation energy, the calculation gives 6 kJ/mol of atoms.



[5]
DFT (GGA-PBE) results for a relaxed structure of GaRe2W2.

Cell: 7.729 7.729 2.872 Å, 90.00 90.00 90.00°
Fractional positions:
1 Re 0.146 0.646 0.500
2 Re 0.646 0.854 0.500
3 Re 0.854 0.354 0.500
4 Re 0.354 0.146 0.500
5 Ga 0.000 0.000 0.000
6 Ga 0.500 0.500 0.000
7 W 0.354 0.854 0.000
8 W 0.854 0.646 0.000
9 W 0.646 0.146 0.000
10 W 0.146 0.354 0.000

Output
The space group is No. 127. The calculation puts the energy above the most stable polymorph in this dataset at 0 meV/atom. For the formation energy, the calculation gives 44 kJ/mol of atoms.



[6]
DFT (GGA-PBE) results for a relaxed structure of GaReW3.

Cell: 4.769 4.769 4.769 Å, 90.00 90.00 90.00°
Fractional positions:
1 Re 0.000 0.000 0.000
2 Ga 0.500 0.500 0.500
3 W 0.000 0.500 0.000
4 W 0.000 0.000 0.500
5 W 0.500 0.000 0.000

Output
The space group is No. 221. The calculation puts the energy above the most stable polymorph in this dataset at 10 meV/atom. For the formation energy, the calculation gives 193 kJ/mol of atoms.



[7]
DFT (GGA-PBE) results for a relaxed structure of GaRe2W2.

Cell: 4.037 4.037 6.514 Å, 71.95 71.95 90.00°
Fractional positions:
1 Re 0.750 0.250 0.500
2 Re 0.250 0.750 0.500
3 Ga 0.000 0.000 0.000
4 W 0.383 0.383 0.234
5 W 0.617 0.617 0.766

Output
The space group is No. 139. The calculation puts the energy above the most stable polymorph in this dataset at 251 meV/atom. For the formation energy, the calculation gives 68 kJ/mol of atoms.



[8]
DFT (GGA-PBE) results for a relaxed structure of GaReW2.

Cell: 7.389 7.389 5.848 Å, 50.82 50.82 90.00°
Fractional positions:
1 Re 0.000 0.000 0.000
2 Re 0.750 0.250 0.500
3 Ga 0.500 0.500 0.000
4 Ga 0.250 0.750 0.500
5 W 0.663 0.125 0.250
6 W 0.087 0.625 0.250
7 W 0.375 0.337 0.750
8 W 0.875 0.913 0.750

Output
The space group is No. 122. For the formation energy, the calculation gives 90 kJ/mol of atoms.